one | Material: Tl2SbPt
Method: DFT, GGA-PBEsol
State: optimized geometry

Values from the calculation:
For the magnetic moment, the calculation gives 0.00 μB per cell. The calculated volume comes out at 23.05 Å³/atom.

abc: 3.977 4.441 5.220
angles: 90.00 90.00 90.00
Positions (direct):
Pt  0.500  0.000  0.500
Sb  0.000  0.500  0.500
Tl  0.000  0.000  0.000
Tl  0.500  0.500  0.000

***

two | Material: Tl2SbPt
Method: DFT, GGA-PBEsol
State: optimized geometry

Values from the calculation:
For the magnetic moment, the calculation gives 0.00 μB per cell. The calculated volume comes out at 25.90 Å³/atom.

abc: 4.147 4.147 7.357
angles: 73.63 73.63 60.00
Positions (direct):
Sb  0.226  0.226  0.323
Tl  0.998  0.998  0.005
Tl  0.768  0.768  0.696
Pt  0.508  0.508  0.477

***

From most stable to least stable, the computed energies give two, one.

***

one | Material: Sb2PtW
Method: DFT, GGA-PBEsol
State: optimized geometry

Values from the calculation:
For the magnetic moment, the calculation gives 0.00 μB per cell. The calculated volume comes out at 20.81 Å³/atom.

abc: 3.057 3.057 10.434
angles: 81.58 81.58 60.00
Positions (direct):
Pt  0.241  0.241  0.278
Sb  0.982  0.982  0.053
Sb  0.768  0.768  0.696
W  0.509  0.509  0.473

***

two | Material: Sb2PtW
Method: DFT, GGA-PBEsol
State: optimized geometry

Values from the calculation:
For the magnetic moment, the calculation gives 0.00 μB per cell. The calculated volume comes out at 18.79 Å³/atom.

abc: 3.221 3.221 8.571
angles: 79.17 79.17 60.00
Positions (direct):
Pt  0.000  0.000  0.000
Sb  0.250  0.250  0.250
Sb  0.750  0.750  0.750
W  0.500  0.500  0.500

***

From most stable to least stable, the computed energies give one, two.

***

one | Material: SbPtW
Method: DFT, GGA-PBEsol
State: optimized geometry

Values from the calculation:
For the magnetic moment, the calculation gives 0.00 μB per cell. The calculated volume comes out at 19.60 Å³/atom.

abc: 4.364 4.364 4.364
angles: 60.00 60.00 60.00
Positions (direct):
Pt  0.500  0.500  0.500
Sb  0.250  0.250  0.250
W  0.000  0.000  0.000

***

two | Material: SbPtW
Method: DFT, GGA-PBEsol
State: optimized geometry

Values from the calculation:
For the magnetic moment, the calculation gives 0.00 μB per cell. The calculated volume comes out at 17.60 Å³/atom.

abc: 2.881 4.012 5.193
angles: 112.72 106.10 90.00
Positions (direct):
Pt  0.982  0.982  0.963
Sb  0.665  0.665  0.330
W  0.353  0.353  0.706

***

From most stable to least stable, the computed energies give two, one.

***

one | Material: Sc5Pt3
Method: DFT, GGA-PBEsol
State: optimized geometry

Values from the calculation:
For the magnetic moment, the calculation gives 0.00 μB per cell. The calculated volume comes out at 18.81 Å³/atom.

abc: 5.503 7.946 7.946
angles: 120.00 90.00 90.00
Positions (direct):
Pt  0.250  0.000  0.398
Pt  0.750  0.000  0.602
Pt  0.250  0.602  0.602
Pt  0.750  0.602  0.000
Pt  0.750  0.398  0.398
Pt  0.250  0.398  0.000
Sc  0.750  0.000  0.241
Sc  0.250  0.000  0.759
Sc  0.750  0.759  0.759
Sc  0.250  0.759  0.000
Sc  0.000  0.667  0.333
Sc  0.500  0.667  0.333
Sc  0.000  0.333  0.667
Sc  0.500  0.333  0.667
Sc  0.250  0.241  0.241
Sc  0.750  0.241  0.000

***

two | Material: Sc5Pt3
Method: DFT, GGA-PBEsol
State: optimized geometry

Values from the calculation:
For the magnetic moment, the calculation gives 1.55 μB per cell. The calculated volume comes out at 18.90 Å³/atom.

abc: 5.457 7.929 7.929
angles: 83.20 69.87 69.87
Site moments in Bohr magnetons follow the coordinates.
Positions (direct):
Pt  0.750  0.000  0.000  0.04
Pt  0.250  0.000  0.000  0.04
Pt  0.160  0.179  0.500  0.01
Pt  0.840  0.821  0.500  0.01
Pt  0.660  0.500  0.179  0.01
Pt  0.340  0.500  0.821  0.01
Sc  0.750  0.500  0.500  0.07
Sc  0.250  0.500  0.500  0.07
Sc  0.083  0.704  0.131  0.10
Sc  0.917  0.296  0.869  0.10
Sc  0.583  0.131  0.704  0.10
Sc  0.417  0.869  0.296  0.10
Sc  0.287  0.296  0.131  0.10
Sc  0.713  0.704  0.869  0.10
Sc  0.213  0.869  0.704  0.10
Sc  0.787  0.131  0.296  0.10

***

From most stable to least stable, the computed energies give one, two.

***

one | Material: ScPtSe
Method: DFT, GGA-PBEsol
State: optimized geometry

Values from the calculation:
For the magnetic moment, the calculation gives 0.00 μB per cell. The calculated volume comes out at 19.28 Å³/atom.

abc: 3.352 3.352 5.947
angles: 90.00 90.00 120.00
Positions (direct):
Pt  0.000  0.000  0.973
Sc  0.667  0.333  0.674
Se  0.333  0.667  0.353

***

two | Material: ScPtSe
Method: DFT, GGA-PBEsol
State: optimized geometry

Values from the calculation:
For the magnetic moment, the calculation gives 0.00 μB per cell. The calculated volume comes out at 17.91 Å³/atom.

abc: 3.491 4.216 4.216
angles: 120.00 90.00 90.00
Positions (direct):
Pt  0.117  0.000  0.000
Sc  0.669  0.333  0.667
Se  0.213  0.667  0.333

***

From most stable to least stable, the computed energies give two, one.

***

one | Material: SrSc2Pt
Method: DFT, GGA-PBEsol
State: optimized geometry

Values from the calculation:
For the magnetic moment, the calculation gives 0.00 μB per cell. The calculated volume comes out at 25.24 Å³/atom.

abc: 3.385 3.385 8.808
angles: 90.00 90.00 90.00
Positions (direct):
Pt  0.500  0.500  0.000
Sc  0.000  0.000  0.167
Sc  0.000  0.000  0.833
Sr  0.500  0.500  0.500

***

two | Material: SrSc2Pt
Method: DFT, GGA-PBEsol
State: optimized geometry

Values from the calculation:
For the magnetic moment, the calculation gives 0.00 μB per cell. The calculated volume comes out at 22.16 Å³/atom.

abc: 4.229 4.229 5.789
angles: 111.42 111.42 90.00
Positions (direct):
Pt  0.250  0.750  0.500
Sc  0.000  0.000  0.000
Sc  0.750  0.250  0.500
Sr  0.500  0.500  0.000

***

From most stable to least stable, the computed energies give one, two.

***

one | Material: ScTa3Pt
Method: DFT, GGA-PBEsol
State: optimized geometry

Values from the calculation:
For the magnetic moment, the calculation gives 0.00 μB per cell. The calculated volume comes out at 19.16 Å³/atom.

abc: 4.576 4.576 4.576
angles: 90.00 90.00 90.00
Positions (direct):
Sc  0.000  0.000  0.000
Pt  0.500  0.500  0.500
Ta  0.000  0.500  0.000
Ta  0.000  0.000  0.500
Ta  0.500  0.000  0.000

***

two | Material: ScTa3Pt
Method: DFT, GGA-PBEsol
State: optimized geometry

Values from the calculation:
For the magnetic moment, the calculation gives 0.00 μB per cell. The calculated volume comes out at 22.99 Å³/atom.

abc: 4.862 4.862 4.862
angles: 90.00 90.00 90.00
Positions (direct):
Sc  0.500  0.500  0.500
Pt  0.000  0.000  0.000
Ta  0.000  0.500  0.000
Ta  0.000  0.000  0.500
Ta  0.500  0.000  0.000

***

From most stable to least stable, the computed energies give two, one.

***

one | Material: Sc2TcPt
Method: DFT, GGA-PBEsol
State: optimized geometry

Values from the calculation:
For the magnetic moment, the calculation gives 0.00 μB per cell. The calculated volume comes out at 16.73 Å³/atom.

abc: 3.246 3.246 6.348
angles: 90.00 90.00 90.00
Positions (direct):
Sc  0.000  0.000  0.256
Sc  0.000  0.000  0.744
Tc  0.500  0.500  0.500
Pt  0.500  0.500  0.000

***

two | Material: Sc2TcPt
Method: DFT, GGA-PBEsol
State: optimized geometry

Values from the calculation:
For the magnetic moment, the calculation gives 0.00 μB per cell. The calculated volume comes out at 17.58 Å³/atom.

abc: 3.519 3.519 5.678
angles: 90.00 90.00 90.00
Positions (direct):
Pt  0.500  0.500  0.778
Sc  0.000  0.000  0.958
Sc  0.500  0.500  0.293
Tc  0.000  0.000  0.471

***

three | Material: Sc2TcPt
Method: DFT, GGA-PBEsol
State: optimized geometry

Values from the calculation:
For the magnetic moment, the calculation gives 0.00 μB per cell. The calculated volume comes out at 16.45 Å³/atom.

abc: 4.532 4.532 4.532
angles: 60.00 60.00 60.00
Positions (direct):
Sc  0.750  0.750  0.750
Sc  0.250  0.250  0.250
Tc  0.000  0.000  0.000
Pt  0.500  0.500  0.500

***

From most stable to least stable, the computed energies give three, one, two.

***

one | Material: YScPt2
Method: DFT, GGA-PBEsol
State: optimized geometry

Values from the calculation:
For the magnetic moment, the calculation gives 0.00 μB per cell. The calculated volume comes out at 18.91 Å³/atom.

abc: 3.353 4.749 4.749
angles: 90.00 90.00 90.00
Positions (direct):
Y  0.500  0.000  0.000
Sc  0.500  0.500  0.500
Pt  0.000  0.000  0.500
Pt  0.000  0.500  0.000

***

two | Material: YScPt2
Method: DFT, GGA-PBEsol
State: optimized geometry

Values from the calculation:
For the magnetic moment, the calculation gives 0.00 μB per cell. The calculated volume comes out at 17.85 Å³/atom.

abc: 4.656 4.656 4.656
angles: 60.00 60.00 60.00
Positions (direct):
Pt  0.000  0.000  0.000
Pt  0.750  0.750  0.750
Sc  0.500  0.500  0.500
Y  0.250  0.250  0.250

***

three | Material: YScPt2
Method: DFT, GGA-PBEsol
State: optimized geometry

Values from the calculation:
For the magnetic moment, the calculation gives 0.00 μB per cell. The calculated volume comes out at 19.81 Å³/atom.

abc: 3.556 4.391 5.378
angles: 90.00 109.30 90.00
Positions (direct):
Y  0.234  0.000  0.468
Sc  0.513  0.500  0.025
Pt  0.963  0.000  0.927
Pt  0.790  0.500  0.580

***

From most stable to least stable, the computed energies give three, one, two.

***

one | Material: SiPt2Se
Method: DFT, GGA-PBEsol
State: optimized geometry

Values from the calculation:
For the magnetic moment, the calculation gives 0.00 μB per cell. The calculated volume comes out at 15.39 Å³/atom.

abc: 4.432 4.432 4.432
angles: 60.00 60.00 60.00
Positions (direct):
Pt  0.250  0.250  0.250
Pt  0.750  0.750  0.750
Se  0.000  0.000  0.000
Si  0.500  0.500  0.500

***

two | Material: SiPt2Se
Method: DFT, GGA-PBEsol
State: optimized geometry

Values from the calculation:
For the magnetic moment, the calculation gives 0.00 μB per cell. The calculated volume comes out at 18.01 Å³/atom.

abc: 4.421 4.421 8.007
angles: 106.02 106.02 90.00
Positions (direct):
Si  0.750  0.250  0.500
Si  0.500  0.500  0.000
Se  0.250  0.750  0.500
Se  0.000  0.000  0.000
Pt  0.405  0.875  0.250
Pt  0.845  0.375  0.250
Pt  0.125  0.155  0.750
Pt  0.625  0.595  0.750

***

three | Material: SiPt2Se
Method: DFT, GGA-PBEsol
State: optimized geometry

Values from the calculation:
For the magnetic moment, the calculation gives 0.00 μB per cell. The calculated volume comes out at 18.67 Å³/atom.

abc: 3.709 3.709 6.624
angles: 73.74 73.74 60.00
Positions (direct):
Pt  0.992  0.992  0.024
Pt  0.749  0.749  0.752
Se  0.478  0.478  0.565
Si  0.280  0.280  0.159

***

From most stable to least stable, the computed energies give three, two, one.

***

one | Material: TcPtSe2
Method: DFT, GGA-PBEsol
State: optimized geometry

Values from the calculation:
For the magnetic moment, the calculation gives 0.00 μB per cell. The calculated volume comes out at 16.77 Å³/atom.

abc: 2.665 5.140 5.140
angles: 107.66 90.00 90.00
Positions (direct):
Pt  0.000  0.000  0.000
Se  0.000  0.000  0.500
Se  0.000  0.500  0.000
Tc  0.000  0.500  0.500

***

two | Material: TcPtSe2
Method: DFT, GGA-PBEsol
State: optimized geometry

Values from the calculation:
For the magnetic moment, the calculation gives 0.00 μB per cell. The calculated volume comes out at 20.14 Å³/atom.

abc: 2.996 5.132 5.530
angles: 97.53 90.00 106.97
Positions (direct):
Pt  0.814  0.629  0.402
Se  0.966  0.933  0.047
Se  0.185  0.370  0.670
Tc  0.534  0.068  0.381

***

From most stable to least stable, the computed energies give two, one.

***

one | Material: TlPtSe2
Method: DFT, GGA-PBEsol
State: optimized geometry

Values from the calculation:
For the magnetic moment, the calculation gives 0.00 μB per cell. The calculated volume comes out at 20.50 Å³/atom.

abc: 4.741 4.741 4.741
angles: 109.39 109.39 109.63
Positions (direct):
Pt  0.500  0.500  0.000
Se  0.250  0.750  0.500
Se  0.750  0.250  0.500
Tl  0.000  0.000  0.000

***

two | Material: TlPtSe2
Method: DFT, GGA-PBEsol
State: optimized geometry

Values from the calculation:
For the magnetic moment, the calculation gives 0.00 μB per cell. The calculated volume comes out at 24.69 Å³/atom.

abc: 3.435 3.435 8.372
angles: 90.00 90.00 90.00
Positions (direct):
Pt  0.500  0.500  0.946
Se  0.000  0.000  0.860
Se  0.500  0.500  0.239
Tl  0.000  0.000  0.456

***

three | Material: TlPtSe2
Method: DFT, GGA-PBEsol
State: optimized geometry

Values from the calculation:
For the magnetic moment, the calculation gives 0.00 μB per cell. The calculated volume comes out at 19.74 Å³/atom.

abc: 3.087 5.058 5.058
angles: 90.00 90.00 90.00
Positions (direct):
Pt  0.500  0.000  0.000
Se  0.000  0.000  0.500
Se  0.000  0.500  0.000
Tl  0.500  0.500  0.500

***

four | Material: TlPtSe2
Method: DFT, GGA-PBEsol
State: optimized geometry

Values from the calculation:
For the magnetic moment, the calculation gives 0.00 μB per cell. The calculated volume comes out at 19.56 Å³/atom.

abc: 4.562 4.562 4.954
angles: 117.41 117.41 90.00
Positions (direct):
Pt  0.250  0.750  0.500
Se  0.000  0.000  0.000
Se  0.750  0.250  0.500
Tl  0.500  0.500  0.000

***

From most stable to least stable, the computed energies give two, three, one, four.